A | Material: Ru2Au
Method: DFT, PBE
State: optimized geometry

a b c (Å): 5.346 5.346 6.540
angles (deg): 75.41 75.41 30.47
Element x y z (fractional)
Au: 0.333 0.333 0.342
Ru: 0.662 0.662 0.668
Ru: 0.271 0.271 0.923
Ru: 0.952 0.952 0.616
Ru: 0.618 0.618 0.282
Au: 0.998 0.998 0.002

Output
space group: Cm, No. 8
V: 15.25 A^3/atom
M_tot: 0.354 Bohr magnetons per cell

***

B | Material: Ru2Au
Method: DFT, PBE
State: optimized geometry

a b c (Å): 4.600 4.600 2.679
angles (deg): 90.00 90.00 90.00
Element x y z (fractional)
Au: 0.000 0.000 0.000
Ru: 0.500 0.000 0.500
Ru: 0.000 0.500 0.500

Output
space group: P4/mmm, No. 123
V: 18.89 A^3/atom
M_tot: 0.001 Bohr magnetons per cell

***

C | Material: Ru2Au
Method: DFT, PBE
State: optimized geometry

a b c (Å): 5.261 5.261 6.713
angles (deg): 76.09 76.09 30.66
Element x y z (fractional)
Ru: 0.688 0.688 0.377
Ru: 0.312 0.312 0.623
Ru: 0.030 0.030 0.672
Au: 0.362 0.362 0.033
Au: 0.638 0.638 0.967
Ru: 0.970 0.970 0.328

Output
space group: C2/m, No. 12
V: 15.29 A^3/atom
M_tot: 0.000 Bohr magnetons per cell

***

D | Material: Ru2Au
Method: DFT, PBE
State: optimized geometry

a b c (Å): 4.433 4.433 2.732
angles (deg): 90.00 90.00 120.00
Element x y z (fractional)
Ru: 0.667 0.333 0.500
Au: 0.000 0.000 0.000
Ru: 0.333 0.667 0.500

Output
space group: P6/mmm, No. 191
V: 15.50 A^3/atom
M_tot: 0.001 Bohr magnetons per cell

***

If you had to bet on the most stable structure above, which would it be? Bet on C.